DFT (PBE with a Hubbard U) results for a relaxed structure of MnFe2SiO6.

```
MnFe2SiO6
1.0
4.9797 0.0058 0.0189
2.4936 4.3448 0.0408
2.5063 1.4843 4.5013
Mn Fe Si O
1 2 1 6
direct
0.8145 0.8198 0.5502 Mn
0.5381 0.5285 0.4067 Fe
0.0247 0.0220 0.9301 Fe
0.3203 0.3185 0.0434 Si
0.5804 0.1939 0.2485 O
0.1909 0.9759 0.2475 O
0.9767 0.5776 0.2429 O
0.4306 0.6878 0.7827 O
0.6814 0.1025 0.7876 O
0.1039 0.4350 0.7757 O
```

Calculated values
SG: P1
Total magnetization, μB/f.u.: 11.0
DFT total energy, eV for the cell shown: -70.46
Volume, Å³/atom: 9.69